# Zr2CdSb

An optimized crystal structure of Zr2CdSb (PBE, Alexandria).

a = 10.188 Å, b = 10.188 Å, c = 10.188 Å
α = 18.36°, β = 18.36°, γ = 18.36°
Sites, in units of the cell vectors:
1 Cd 0.250 0.250 0.250
2 Sb 0.750 0.750 0.750
3 Zr 0.001 0.001 0.001
4 Zr 0.499 0.499 0.499

Summary:
N(E_F) = 0.72 states/eV per atom
E_form (uncorrected) = -0.143 eV/atom